Entry 1:
Material: ZrGe
Method: DFT, PBE
State: relaxed

Magnetization ... 0.00 μB/atom
VASP energy ... -6.876 eV/atom

```
ZrGe
1.0
5.001 0.000 0.000
0.000 11.868 0.000
0.000 0.000 5.276
Zr Ge
8 8
Cartesian
1.250 1.148 0.581
1.250 2.967 3.313
1.250 4.786 0.581
1.250 8.901 3.872
3.751 2.967 1.404
3.751 7.082 4.695
3.751 8.901 1.963
3.751 10.720 4.695
1.250 5.970 3.294
1.250 7.556 1.135
1.250 10.246 1.135
1.250 11.833 3.294
3.751 0.035 1.982
3.751 1.622 4.141
3.751 4.312 4.141
3.751 5.899 1.982
```

---

Entry 2:
Material: ZrGe
Method: DFT, PBE
State: relaxed

Magnetization ... 0.01 μB/atom
VASP energy ... -6.786 eV/atom

```
ZrGe
1.0
6.058 0.000 0.000
-3.029 5.246 0.000
0.000 0.000 4.957
Zr Ge
4 4
Cartesian
0.000 0.000 0.000
0.000 1.790 2.479
-1.479 4.351 2.479
1.479 4.351 2.479
3.029 0.009 0.000
1.522 2.619 0.000
3.029 1.749 2.479
4.536 2.619 0.000
```

---

Entry 3:
Material: ZrGe
Method: DFT, PBE
State: relaxed

Magnetization ... 0.00 μB/atom
VASP energy ... -7.328 eV/atom

```
ZrGe
1.0
3.878 0.000 0.000
0.000 3.878 0.000
0.000 0.000 5.484
Zr Ge
2 2
Cartesian
0.970 0.970 1.367
2.909 2.909 4.117
0.970 0.970 4.109
2.909 2.909 1.376
```

---

Entry 4:
Material: Zr2Ge
Method: DFT, PBE
State: relaxed

Magnetization ... 0.01 μB/atom
VASP energy ... -7.628 eV/atom

```
Zr2Ge
1.0
0.000 3.223 3.223
3.223 0.000 3.223
3.223 3.223 0.000
Zr Ge
2 1
Cartesian
1.611 1.611 1.611
4.834 4.834 4.834
0.000 0.000 0.000
```

---

Entry 5:
Material: ZrGe
Method: DFT, PBE
State: relaxed

Magnetization ... 0.00 μB/atom
VASP energy ... -6.342 eV/atom

```
ZrGe
1.0
0.000 3.069 3.069
3.069 0.000 3.069
3.069 3.069 0.000
Zr Ge
1 1
Cartesian
0.000 0.000 0.000
1.534 1.534 1.534
```

---

Entry 6:
Material: ZrGe2
Method: DFT, PBE
State: relaxed

Magnetization ... 0.29 μB/atom
VASP energy ... -4.675 eV/atom

```
ZrGe2
1.0
0.000 6.102 6.102
6.102 0.000 6.102
6.102 6.102 0.000
Zr Ge
2 4
Cartesian
1.525 1.525 1.525
10.678 10.678 10.678
0.000 0.000 0.000
3.051 3.051 0.000
3.051 0.000 3.051
0.000 3.051 3.051
```

---

Entry 7:
Material: ZrGe
Method: DFT, PBE
State: relaxed

Magnetization ... 0.00 μB/atom
VASP energy ... -7.127 eV/atom

```
ZrGe
1.0
3.947 0.000 0.000
0.000 3.967 0.000
0.000 0.000 10.024
Zr Ge
4 4
Cartesian
0.987 0.992 0.005
0.987 2.976 7.164
2.960 0.992 2.860
2.960 2.976 10.019
0.987 0.992 5.020
0.987 2.976 2.092
2.960 0.992 7.932
2.960 2.976 5.004
```

---

Entry 8:
Material: ZrGe
Method: DFT, PBE
State: relaxed

Magnetization ... 0.00 μB/atom
VASP energy ... -7.004 eV/atom

```
ZrGe
1.0
5.206 0.000 0.000
0.000 7.342 2.618
0.000 -7.342 2.618
Zr Ge
5 5
Cartesian
0.000 0.000 0.000
0.000 -4.539 2.276
0.000 4.539 2.276
2.603 -2.701 2.180
2.603 2.701 2.180
0.000 -1.637 2.367
0.000 1.637 2.367
2.603 -5.701 2.180
2.603 0.000 2.136
2.603 5.701 2.180
```

---

Entry 9:
Material: Zr2Ge
Method: DFT, PBE
State: relaxed

Magnetization ... 0.00 μB/atom
VASP energy ... -6.990 eV/atom

```
Zr2Ge
1.0
0.000 4.027 4.027
4.027 0.000 4.027
4.027 4.027 0.000
Zr Ge
4 2
Cartesian
0.000 0.000 0.000
2.013 2.013 0.000
2.013 0.000 2.013
0.000 2.013 2.013
3.020 3.020 3.020
5.033 5.033 5.033
```

---

Entry 10:
Material: ZrGe
Method: DFT, PBE
State: relaxed

Magnetization ... 0.03 μB/atom
VASP energy ... -7.034 eV/atom

```
ZrGe
1.0
3.168 0.000 0.000
-1.584 2.743 0.000
0.000 0.000 4.530
Zr Ge
1 1
Cartesian
0.000 0.000 0.000
0.000 1.829 2.265
```

---

Entry 11:
Material: ZrGe
Method: DFT, PBE
State: relaxed

Magnetization ... 0.00 μB/atom
VASP energy ... -6.902 eV/atom

```
ZrGe
1.0
4.866 0.000 0.000
0.000 8.140 2.432
0.000 -8.140 2.432
Zr Ge
5 5
Cartesian
0.000 0.000 0.000
0.000 -1.778 2.430
0.000 1.778 2.430
2.433 -6.369 2.444
2.433 6.369 2.444
0.000 -4.896 2.428
0.000 4.896 2.428
2.433 -3.500 2.436
2.433 0.000 2.453
2.433 3.500 2.436
```

---

Entry 12:
Material: ZrGe2
Method: DFT, PBE
State: relaxed

Magnetization ... 0.00 μB/atom
VASP energy ... -5.871 eV/atom

```
ZrGe2
1.0
0.000 3.245 3.245
3.245 0.000 3.245
3.245 3.245 0.000
Zr Ge
1 2
Cartesian
0.000 0.000 0.000
1.622 1.622 1.622
4.867 4.867 4.867
```

---

Look up the VASP energy of the fourth one. -7.628 eV/atom

---

Please write out number 5 again, unchanged.
Material: ZrGe
Method: DFT, PBE
State: relaxed

Magnetization ... 0.00 μB/atom
VASP energy ... -6.342 eV/atom

```
ZrGe
1.0
0.000 3.069 3.069
3.069 0.000 3.069
3.069 3.069 0.000
Zr Ge
1 1
Cartesian
0.000 0.000 0.000
1.534 1.534 1.534
```